First-principles (PBE) data for a relaxed structure of Li2YAlSe4, as listed in Alexandria via LeMat-Bulk.

Summary:
The uncorrected energy is -153.8 eV per cell. For the total magnetic moment, the calculation gives 0.00 μB/cell. The calculated density comes out at 4.33 g/cm3. The formation energy without anion corrections is -1.31 eV/atom.

Lattice parameters (Å, degrees): 7.6610 8.0356 11.0946 90.00 90.00 90.00
Closest atoms and distances in Å follow each position.
Space group Imma (No. 74)
Symmetry-distinct sites (fractional):
Li 0.0000 0.0000 0.0000  6 Se 2.71-2.73
Li 0.2500 0.2500 0.2500  6 Se 2.84-2.94
Y 0.0000 0.0000 0.5000  6 Se 2.83-2.85
Al 0.2500 0.2500 0.7500  6 Se 2.62-2.70
Se 0.0000 0.0275 0.7563  2 Al 2.62, 1 Li 2.71, 1 Y 2.85
Se 0.2403 0.2500 0.9937  1 Al 2.70, 3 Li 2.73-2.84, 2 Y 2.83

First-principles (PBE) data for a relaxed structure of LiZrAl2Se, as listed in Alexandria via LeMat-Bulk.

Summary:
The uncorrected energy is -20.2 eV per cell. For the total magnetic moment, the calculation gives 0.00 μB/cell. The density of states at the Fermi level is 2.845 states/eV/f.u. The calculated density comes out at 4.04 g/cm3. The formation energy without anion corrections is 0.25 eV/atom.

Lattice parameters (Å, degrees): 4.2828 4.2828 5.1822 90.00 90.00 90.00
Closest atoms and distances in Å follow each position.
Space group P4/mmm (No. 123)
Symmetry-distinct sites (fractional):
Li 0.0000 0.0000 0.0000  4 Al 2.14
Zr 0.0000 0.0000 0.5000  2 Li 2.59
Al 0.0000 0.5000 0.0000  2 Li 2.14
Se 0.5000 0.5000 0.5000  4 Zr 3.03, 8 Al 3.36